(1)
ThSnPdN | PBE | relaxed

Cell: 4.3892 4.3892 8.3341 Å, 90.00 90.00 90.00°
With the nearest neighbours (Å) after each atom.
Space group P4/nmm (No. 129, origin choice 2)
Symmetry-distinct sites (fractional):
1 Th 0.2500 0.2500 0.1228  4 N 2.42
2 Sn 0.2500 0.7500 0.5000  4 Pd 2.69
3 Pd 0.2500 0.2500 0.6872  4 Sn 2.69
4 N 0.2500 0.7500 0.0000  4 Th 2.42

Summary:
Total magnetic moment ... 0.00 μB per cell
Raw formation energy ... -23.153 kcal/mol of atoms
E_tot ... -7.24 eV per atom

=====

(2)
VSnPdN2 | PBE | relaxed

Cell: 3.7415 3.7415 6.0154 Å, 90.00 90.00 90.00°
With the nearest neighbours (Å) after each atom.
Space group P4/mmm (No. 123)
Symmetry-distinct sites (fractional):
1 V 0.0000 0.0000 0.0000  4 N 1.87
2 Sn 0.0000 0.0000 0.5000  4 Pd 2.65
3 Pd 0.5000 0.5000 0.5000  4 Sn 2.65
4 N 0.0000 0.5000 0.0000  2 V 1.87

Summary:
Total magnetic moment ... 0.00 μB per cell
Raw formation energy ... 11.424 kcal/mol of atoms
E_tot ... -6.50 eV per atom

=====

(3)
Sn2PdWN | PBE | relaxed

Cell: 4.7785 4.7785 3.9304 Å, 90.00 90.00 90.00°
With the nearest neighbours (Å) after each atom.
Space group P4/mmm (No. 123)
Symmetry-distinct sites (fractional):
1 Sn 0.0000 0.5000 0.0000  2 N 2.39
2 Pd 0.0000 0.0000 0.5000  8 Sn 3.09, 4 W 3.38
3 W 0.5000 0.5000 0.5000  2 N 1.97
4 N 0.5000 0.5000 0.0000  2 W 1.97

Summary:
Total magnetic moment ... 0.00 μB per cell
Raw formation energy ... 9.782 kcal/mol of atoms
E_tot ... -6.47 eV per atom

=====

(4)
SrPd2N4 | PBE | relaxed

Cell: 8.4510 4.9828 6.9811 Å, 90.00 110.74 90.00°
With the nearest neighbours (Å) after each atom.
Space group C2/m (No. 12)
Symmetry-distinct sites (fractional):
1 Sr 0.0000 0.0000 0.0000  4 N 2.73
2 Pd 0.1232 0.5000 0.7008  2 N 1.91
3 N 0.1436 0.1188 0.7162  1 N 1.18

Summary:
Total magnetic moment ... 0.00 μB per cell
Raw formation energy ... 0.576 kcal/mol of atoms
E_tot ... -6.46 eV per atom

=====

What did the first record say?
ThSnPdN | PBE | relaxed

Cell: 4.3892 4.3892 8.3341 Å, 90.00 90.00 90.00°
With the nearest neighbours (Å) after each atom.
Space group P4/nmm (No. 129, origin choice 2)
Symmetry-distinct sites (fractional):
1 Th 0.2500 0.2500 0.1228  4 N 2.42
2 Sn 0.2500 0.7500 0.5000  4 Pd 2.69
3 Pd 0.2500 0.2500 0.6872  4 Sn 2.69
4 N 0.2500 0.7500 0.0000  4 Th 2.42

Summary:
Total magnetic moment ... 0.00 μB per cell
Raw formation energy ... -23.153 kcal/mol of atoms
E_tot ... -7.24 eV per atom